1.
A relaxed PmMgTlRu crystal, computed with GGA-PBE.

```
PmMgTlRu
1.0
-1.155 -4.650 1.401
2.268 -2.055 3.943
-2.548 -0.775 4.222
Ru Tl Mg Pm
1 1 1 1
Direct
0.750 0.750 0.750 Ru
0.250 0.250 0.250 Tl
0.000 0.000 0.000 Mg
0.500 0.500 0.500 Pm
```

Summary:
energy	-17.9	eV/cell
N(E_F)	3.45	states/eV/cell

---

2.
A relaxed CdHg2 crystal, computed with GGA-PBE.

```
CdHg2
1.0
3.252 0.000 0.000
-1.626 7.139 -0.006
0.000 2.460 6.552
Cd Hg
2 4
Direct
0.393 0.786 0.715 Cd
0.329 0.659 0.341 Cd
0.991 0.982 0.994 Hg
0.669 0.338 0.676 Hg
0.053 0.106 0.380 Hg
0.731 0.463 0.061 Hg
```

Summary:
energy	-2.9	eV/cell
N(E_F)	1.42	states/eV/cell
ΔE to the lowest computed polymorph	1.11	kJ per mole of atoms

---

3.
A relaxed Y2MgInMo crystal, computed with GGA-PBE.

```
Y2MgInMo
1.0
5.444 0.000 0.000
0.000 4.794 0.000
0.000 0.000 5.444
Y Mo Mg In
2 1 1 1
Direct
0.000 0.000 0.500 Y
0.500 0.000 0.000 Y
0.000 0.500 0.000 Mo
0.000 0.000 0.000 Mg
0.500 0.500 0.500 In
```

Summary:
energy	-23.7	eV/cell
N(E_F)	4.52	states/eV/cell